Here is Re2S2O after structural relaxation from Alexandria via LeMat-Bulk. Energies are from GGA-PBE.

Computed properties:
Uncorrected formation energy, eV/f.u.: 2.6
M_tot, μB/cell: 1.2

Cell and atoms, written as extended XYZ:
```
5
Lattice="-2.7267 -2.5114 1.7648 2.0125 0.3197 3.5643 -2.9102 2.4648 3.7867" Properties=species:S:1:pos:R:3 pbc="T T T"
S -1.0396 -0.1439 2.9646
Re -0.6274 0.8444 5.0078
S -2.5848 0.4171 6.1513
Re -2.9970 -0.5712 4.1081
O 0.0000 0.0000 0.0000
```